1.
This record from Alexandria describes a relaxed BeRhI crystal. The functional is PBE.

```
BeRhI
1.0
5.4517 0.0000 0.0000
0.0000 5.4517 0.0000
0.0000 0.0000 4.3019
Be Rh I
2 2 2
Cartesian
1.3629 1.3629 0.3936
4.0888 4.0888 3.9083
1.3629 1.3629 2.5717
4.0888 4.0888 1.7302
1.3629 4.0888 2.1509
4.0888 1.3629 2.1509
```

Calculated values
E above lowest polymorph, meV/atom: 792
SG: No. 129

=====

2.
This record from Alexandria describes a relaxed BeRhI crystal. The functional is PBE.

```
BeRhI
1.0
4.3906 0.0000 0.0000
0.7484 4.3294 0.0000
1.0108 0.8522 7.2002
Be Rh I
2 2 2
Cartesian
0.0000 0.0000 0.0000
3.1135 3.5714 7.1920
3.1465 1.3586 6.7914
4.2758 2.3097 0.4027
1.1763 2.2044 5.0932
3.7751 4.3935 2.1018
```

Calculated values
E above lowest polymorph, meV/atom: 192
SG: No. 1

=====

3.
This record from Alexandria describes a relaxed BeRhI2 crystal. The functional is PBE.

```
BeRhI2
1.0
0.0000 3.4900 3.4900
3.4900 0.0000 3.4900
3.4900 3.4900 0.0000
Be Rh I
1 1 2
Cartesian
0.0000 0.0000 0.0000
3.4900 3.4900 3.4900
1.7450 1.7450 1.7450
5.2350 5.2350 5.2350
```

Calculated values
E above lowest polymorph, meV/atom: 621
SG: No. 225

=====

4.
This record from Alexandria describes a relaxed BeRhI crystal. The functional is PBE.

```
BeRhI
1.0
3.8848 0.0000 0.0000
-0.0529 3.9211 0.0000
-0.7627 -1.6275 8.7335
Be Rh I
2 2 2
Cartesian
0.0000 0.0000 0.0000
1.0468 0.0212 8.6654
1.0731 2.0528 7.2434
2.9944 0.2497 7.5016
1.0974 0.6804 2.1064
3.0534 2.5428 5.4220
```

Calculated values
E above lowest polymorph, meV/atom: 116
SG: No. 1

=====

5.
This record from Alexandria describes a relaxed BeRhI crystal. The functional is PBE.

```
BeRhI
1.0
4.0577 0.0000 0.0000
-1.9651 3.6111 0.0000
-1.4850 -1.4635 8.8766
Be Rh I
2 2 2
Cartesian
-0.2288 0.1559 4.4071
0.8365 1.9917 4.4695
-1.2413 1.9970 3.4520
1.8490 0.1506 5.4245
0.9453 0.6689 1.8881
-0.3377 1.4787 6.9885
```

Calculated values
E above lowest polymorph, meV/atom: 56
SG: No. 2

=====

6.
This record from Alexandria describes a relaxed BeRhI crystal. The functional is PBE.

```
BeRhI
1.0
4.0527 0.0000 0.0000
1.9943 3.6162 0.0000
0.9058 0.4759 8.7948
Be Rh I
2 2 2
Cartesian
0.0000 0.0000 0.0000
3.0233 1.8081 0.0924
1.9249 2.2994 7.8561
4.0427 3.6315 1.0342
1.8615 2.3018 2.5866
3.7974 0.9700 6.3046
```

Calculated values
E above lowest polymorph, meV/atom: 45
SG: No. 1

=====

7.
This record from Alexandria describes a relaxed Be3RhI crystal. The functional is PBE.

```
Be3RhI
1.0
4.5355 0.0000 0.0000
0.0000 4.5355 0.0000
0.0000 0.0000 4.5355
Be Rh I
3 1 1
Cartesian
0.0000 0.0000 2.2678
0.0000 2.2678 0.0000
2.2678 0.0000 0.0000
2.2678 2.2678 2.2678
0.0000 0.0000 0.0000
```

Calculated values
E above lowest polymorph, meV/atom: 1353
SG: No. 221

=====

8.
This record from Alexandria describes a relaxed BeRhI crystal. The functional is PBE.

```
BeRhI
1.0
5.8716 0.0000 0.0000
0.0000 9.2521 0.0000
0.0000 0.0000 3.8753
Be Rh I
4 4 4
Cartesian
0.0271 2.3130 0.8747
2.9087 6.9391 2.8124
2.9629 2.3130 1.0629
5.8445 6.9391 3.0006
1.4569 6.9391 0.9668
1.4789 2.3130 2.9044
4.3927 6.9391 0.9709
4.4147 2.3130 2.9085
0.0000 0.0000 1.9376
0.0000 4.6261 1.9376
2.9358 0.0000 0.0000
2.9358 4.6261 0.0000
```

Calculated values
E above lowest polymorph, meV/atom: 499
SG: No. 62

=====

9.
This record from Alexandria describes a relaxed Be2RhI8 crystal. The functional is PBE.

```
Be2RhI8
1.0
5.6237 -6.1642 0.0000
5.6237 6.1642 0.0000
-2.4068 0.0000 6.4216
Be Rh I
2 1 8
Cartesian
1.8016 0.0000 2.3636
7.0389 0.0000 4.0580
4.4203 0.0000 3.2108
-0.5006 0.0000 1.6356
3.1603 1.8855 1.7035
2.1720 0.0000 4.7326
3.1603 -1.8855 1.7035
5.6802 1.8855 4.7180
6.6686 0.0000 1.6890
5.6802 -1.8855 4.7180
9.3412 0.0000 4.7860
```

Calculated values
SG: No. 12

=====

10.
This record from Alexandria describes a relaxed BeRhI crystal. The functional is PBE.

```
BeRhI
1.0
3.6874 0.0000 0.0000
0.0000 3.8530 0.0000
-0.0521 0.0000 9.1271
Be Rh I
2 2 2
Cartesian
0.2927 0.9633 0.4304
3.3426 2.8898 8.6967
1.5155 2.8898 0.9351
2.1198 0.9633 8.1920
1.0206 0.9633 2.8007
2.6147 2.8898 6.3263
```

Calculated values
E above lowest polymorph, meV/atom: 0
SG: No. 11

=====

11.
This record from Alexandria describes a relaxed BeRh2I crystal. The functional is PBE.

```
BeRh2I
1.0
-2.4532 2.4532 6.3376
2.4532 -2.4532 6.3376
2.4532 2.4532 -6.3376
Be Rh I
2 4 2
Cartesian
0.0000 0.0000 0.0000
0.0000 2.4532 3.1688
3.6798 0.7969 -1.5844
0.7969 1.2266 1.5844
-1.2266 1.6563 4.7532
1.6563 1.2266 7.9220
2.4532 0.0000 3.1688
0.0000 0.0000 6.3376
```

Calculated values
E above lowest polymorph, meV/atom: 0
SG: No. 122

=====

12.
This record from Alexandria describes a relaxed BeRhI crystal. The functional is PBE.

```
BeRhI
1.0
3.9935 0.0000 0.0000
1.9945 3.4932 0.0000
1.9395 -0.6243 8.8611
Be Rh I
2 2 2
Cartesian
0.0000 0.0000 0.0000
1.9937 1.1561 1.0496
3.9344 0.5467 7.6372
3.9917 2.2982 0.3444
3.9914 3.0179 2.9087
5.9313 1.7196 6.3498
```

Calculated values
E above lowest polymorph, meV/atom: 87
SG: No. 1

=====

| no. | formation energy without anion corrections (meV per atom) |
| --- | --- |
| 1 | 527 |
| 2 | -73 |
| 3 | 904 |
| 4 | -150 |
| 5 | -210 |
| 6 | -220 |
| 7 | 1923 |
| 8 | 234 |
| 9 | -330 |
| 10 | -265 |
| 11 | 370 |
| 12 | -179 |